LiMn3O6: relaxed, PBE+U.

relative energy among the computed polymorphs: 0.011 eV per atom
symmetry: Cm, No. 8

Cell and atoms, written as POSCAR:
```
LiMn3O6
1.0
-0.035 -6.274 3.310
1.325 -6.921 0.817
4.423 1.028 2.145
Mn O Li
3 6 1
Direct
0.654 0.654 0.466
0.003 0.003 0.002
0.342 0.342 0.549
0.575 0.575 0.153
0.092 0.092 0.639
0.765 0.765 0.708
0.901 0.901 0.361
0.235 0.235 0.297
0.420 0.420 0.867
0.798 0.798 0.071
```